Entry 1:
Computed, not measured: an optimized crystal structure of LiSm2Br6 at the PBE level of DFT.

Structure (POSCAR):
```
LiSm2Br6
1.0
7.530 -1.889 0.000
7.530 1.889 0.000
-5.671 0.000 10.702
Li Sm Br
1 2 6
Cartesian
0.000 0.000 0.000
0.824 0.000 7.464
8.563 0.000 3.237
-1.091 0.000 2.392
2.277 0.000 1.287
2.544 0.000 4.977
6.844 0.000 5.725
7.110 0.000 9.415
10.479 0.000 8.309
```

* D(E_F): 2.848 states/eV per cell
* SG: No. 12
* VASP energy: -4.06 eV/atom
* ΔE_f (raw): -1.69 eV/atom

Entry 2:
Computed, not measured: an optimized crystal structure of Tm3ZnTe at the PBE level of DFT.

Structure (POSCAR):
```
Tm3ZnTe
1.0
8.336 -2.364 0.000
8.336 2.364 0.000
-0.229 0.000 6.424
Tm Zn Te
6 2 2
Cartesian
0.101 0.000 1.622
3.304 0.000 4.154
6.401 0.000 0.066
10.041 0.000 6.358
13.138 0.000 2.270
16.341 0.000 4.802
3.483 0.000 0.733
12.959 0.000 5.691
6.472 0.000 3.288
9.969 0.000 3.136
```

* D(E_F): 8.083 states/eV per cell
* SG: No. 12
* VASP energy: -4.05 eV/atom
* ΔE_f (raw): -0.49 eV/atom

Entry 3:
Computed, not measured: an optimized crystal structure of TcP3Se at the PBE level of DFT.

Structure (POSCAR):
```
TcP3Se
1.0
4.602 0.000 0.000
0.000 4.602 0.000
0.000 0.000 4.602
Tc P Se
1 3 1
Cartesian
0.000 0.000 0.000
0.000 0.000 2.301
0.000 2.301 0.000
2.301 0.000 0.000
2.301 2.301 2.301
```

* D(E_F): 3.751 states/eV per cell
* SG: No. 221
* VASP energy: -5.50 eV/atom
* ΔE_f (raw): 0.52 eV/atom

Entry 4:
Computed, not measured: an optimized crystal structure of LaFeHg4 at the PBE level of DFT.

Structure (POSCAR):
```
LaFeHg4
1.0
0.000 4.177 4.177
4.177 0.000 4.177
4.177 4.177 0.000
La Fe Hg
1 1 4
Cartesian
0.000 0.000 0.000
6.265 6.265 6.265
3.137 3.137 3.137
5.216 5.216 3.137
5.216 3.137 5.216
3.137 5.216 5.216
```

* D(E_F): 9.094 states/eV per cell
* SG: No. 216
* VASP energy: -2.24 eV/atom
* ΔH_f (0 K): 0.192 eV per atom

Entry 5:
Computed, not measured: an optimized crystal structure of LiLaInIr at the PBE level of DFT.

Structure (POSCAR):
```
LiLaInIr
1.0
0.000 3.469 3.469
3.469 0.000 3.469
3.469 3.469 0.000
Li La In Ir
1 1 1 1
Cartesian
0.000 0.000 0.000
5.203 5.203 5.203
1.734 1.734 1.734
3.469 3.469 3.469
```

* D(E_F): 3.416 states/eV per cell
* SG: No. 216
* VASP energy: -5.04 eV/atom
* ΔH_f (0 K): -0.431 eV per atom

Entry 6:
Computed, not measured: an optimized crystal structure of Zn2FeCl at the PBE level of DFT.

Structure (POSCAR):
```
Zn2FeCl
1.0
1.534 0.886 7.836
-1.534 0.886 7.836
0.000 -1.771 7.836
Zn Fe Cl
2 1 1
Cartesian
0.000 0.000 5.805
0.000 0.000 17.703
0.000 0.000 11.754
0.000 0.000 0.000
```

* D(E_F): 1.687 states/eV per cell
* SG: No. 166
* VASP energy: -3.18 eV/atom
* ΔE_f (raw): 0.03 eV/atom

no.,magnetic moment (Bohr magnetons per cell)
1,0.00
2,0.00
3,0.00
4,2.12
5,0.00
6,2.62